No. 1
LuScCS: relaxed, PBE.

Cell: 3.5307 3.5307 12.2469 Å, 90.00 90.00 120.00°
Last column: nearest neighbours and their distance in Å.
Fractional positions:
Sc1 0.6667 0.3333 0.1031  3 C 2.37
Sc2 0.3333 0.6667 0.6031  3 C 2.37
C1 0.0000 0.0000 0.0037  3 Sc 2.37, 3 Lu 2.42
C2 0.0000 0.0000 0.5037  3 Sc 2.37, 3 Lu 2.42
S1 0.3333 0.6667 0.2458  3 Sc 2.69, 3 Lu 2.76
S2 0.6667 0.3333 0.7458  3 Sc 2.69, 3 Lu 2.76
Lu1 0.6667 0.3333 0.3974  3 C 2.42
Lu2 0.3333 0.6667 0.8974  3 C 2.42

Output
The distance to the lowest polymorph of the same formula comes out at 0.000 eV per atom.

No. 2
LuScCS: relaxed, PBE.

Cell: 3.5311 3.5311 12.2448 Å, 90.00 90.00 120.00°
Last column: nearest neighbours and their distance in Å.
Fractional positions:
Sc1 0.6667 0.3333 0.3573  3 C 2.38
Sc2 0.6667 0.3333 0.6427  3 C 2.38
C1 0.0000 0.0000 0.2574  3 Sc 2.38, 3 Lu 2.41
C2 0.0000 0.0000 0.7426  3 Sc 2.38, 3 Lu 2.41
S1 0.3333 0.6667 0.5000  6 Sc 2.68
S2 0.6667 0.3333 0.0000  6 Lu 2.76
Lu1 0.3333 0.6667 0.1518  3 C 2.41
Lu2 0.3333 0.6667 0.8482  3 C 2.41

Output
The distance to the lowest polymorph of the same formula comes out at 0.000 eV per atom.

No. 3
Lu4Sc2C3S3: relaxed, PBE.

Cell: 6.1595 6.1595 12.8625 Å, 103.82 103.82 59.98°
Last column: nearest neighbours and their distance in Å.
Fractional positions:
Lu1 0.1323 0.2984 0.8954  3 C 2.42-2.47
Lu2 0.0343 0.2022 0.6046  3 C 2.42-2.47
Lu3 0.2984 0.1323 0.3954  3 C 2.42-2.47
Lu4 0.9657 0.7978 0.3954  3 C 2.42-2.47
Lu5 0.7978 0.9657 0.8954  3 C 2.42-2.47
Lu6 0.7016 0.8677 0.6046  3 C 2.42-2.47
Lu7 0.2022 0.0343 0.1046  3 C 2.42-2.47
Lu8 0.8677 0.7016 0.1046  3 C 2.42-2.47
S1 0.4161 0.2596 0.7498  2 Sc 2.73, 4 Lu 2.75
S2 0.5839 0.7404 0.2502  2 Sc 2.73, 4 Lu 2.75
S3 0.0920 0.9080 0.7500  2 Sc 2.74, 4 Lu 2.75
S4 0.9080 0.0920 0.2500  2 Sc 2.74, 4 Lu 2.75
S5 0.2596 0.4161 0.2498  2 Sc 2.73, 4 Lu 2.75
S6 0.7404 0.5839 0.7502  2 Sc 2.73, 4 Lu 2.75
C1 0.0000 0.5000 0.5000  2 Sc 2.39, 4 Lu 2.42
C2 0.6617 0.1766 0.5000  2 Sc 2.35, 4 Lu 2.43-2.47
C3 0.1766 0.6617 0.0000  2 Sc 2.35, 4 Lu 2.43-2.47
C4 0.5000 0.0000 0.0000  2 Sc 2.39, 4 Lu 2.42
C5 0.3383 0.8234 0.5000  2 Sc 2.35, 4 Lu 2.43-2.47
C6 0.8234 0.3383 0.0000  2 Sc 2.35, 4 Lu 2.43-2.47
Sc1 0.3670 0.5329 0.5986  3 C 2.35-2.39
Sc2 0.4671 0.6330 0.9014  3 C 2.35-2.39
Sc3 0.5329 0.3670 0.0986  3 C 2.35-2.39
Sc4 0.6330 0.4671 0.4014  3 C 2.35-2.39

Output
The total energy is -7.2145 eV/atom.

No. 4
LuScCS: relaxed, PBE.

Cell: 3.5324 3.5324 12.2432 Å, 90.00 90.00 120.00°
Last column: nearest neighbours and their distance in Å.
Fractional positions:
C1 0.0000 0.0000 0.0000  6 Lu 2.42
C2 0.0000 0.0000 0.5000  6 Sc 2.37
Sc1 0.6667 0.3333 0.4011  3 C 2.37
Sc2 0.3333 0.6667 0.5989  3 C 2.37
Lu1 0.3333 0.6667 0.8934  3 C 2.42
Lu2 0.6667 0.3333 0.1066  3 C 2.42
S1 0.3333 0.6667 0.2589  3 Sc 2.68, 3 Lu 2.76
S2 0.6667 0.3333 0.7411  3 Sc 2.68, 3 Lu 2.76

Output
The distance to the lowest polymorph of the same formula comes out at 0.003 eV per atom.